Entry 1:
Density functional theory data (PBE) for a geometry-optimized Sm2SbO2 structure.

Computed properties:
As for the uncorrected formation energy: -61.07 kcal/mol of atoms. The uncorrected energy is -73.44 eV/cell. Its density of states at the Fermi level is 0.641 states/eV/f.u. As for the relative energy among the computed polymorphs: 0 meV/atom.

Unit cell a=3.946 b=3.946 c=13.662 alpha=90.00 beta=90.00 gamma=90.00
Space group I4/mmm (No. 139)
Asymmetric unit:
Sm (0.000, 0.000, 0.164) x4
Sb (0.000, 0.000, 0.500) x2
O (0.000, 0.500, 0.250) x4

***

Entry 2:
Density functional theory data (PBE) for a geometry-optimized HoZn3Hg structure.

Computed properties:
The calculation puts the formation energy at -141 meV per atom. The uncorrected energy is -37.62 eV/cell. Its density of states at the Fermi level is 2.422 states/eV/f.u.

Unit cell a=4.373 b=25.776 c=3.646 alpha=90.00 beta=90.00 gamma=90.00
Space group Cmmm (No. 65)
Asymmetric unit:
Ho (0.000, 0.175, 0.000) x4
Zn (0.000, 0.050, 0.500) x4
Zn (0.000, 0.272, 0.500) x4
Zn (0.000, 0.454, 0.000) x4
Hg (0.000, 0.377, 0.500) x4

***

Q: Which of these has the highest uncorrected energy?
A: HoZn3Hg